Pb2AuCl | PBEsol | relaxed

Lattice parameters (Å, degrees): 3.859 3.863 8.396 103.25 90.00 119.97
Fractional positions:
Pb: 0.743 0.486 0.728
Pb: 0.257 0.514 0.272
Au: 0.000 0.000 0.500
Cl: 0.500 0.000 0.000

Results
Total magnetic moment, Bohr magnetons per cell: 0.00
Energy relative to the elements, uncorrected, eV/f.u.: -1.339
Calculated total energy, hartree per atom: -0.1403